Gd2DyPb | PBE-GGA | relaxed

Unit cell a=4.935 b=4.872 c=4.872 alpha=90.00 beta=90.00 gamma=90.00
Site moments in Bohr magnetons follow the coordinates.
Positions (direct):
Gd  0.000  0.000  0.500  7.32
Pb  0.500  0.000  0.000  -0.05
Gd  0.000  0.500  0.000  7.32
Dy  0.500  0.500  0.500  0.29

Space-group type ... P4/mmm, No. 123
Energy above the lowest structure with this stoichiometry ... 0 meV/atom

=====

GdDyPb2 | PBE-GGA | relaxed

Unit cell a=3.547 b=3.547 c=8.994 alpha=90.00 beta=90.00 gamma=90.00
Site moments in Bohr magnetons follow the coordinates.
Positions (direct):
Pb  0.000  0.000  0.253  -0.01
Gd  0.500  0.500  0.000  7.28
Dy  0.500  0.500  0.500  -0.08
Pb  0.000  0.000  0.747  -0.01

Space-group type ... P4/mmm, No. 123
Calculated total energy ... -7.004 eV per atom

=====

Gd2DyPb | PBE-GGA | relaxed

Unit cell a=3.549 b=3.549 c=12.273 alpha=81.69 beta=81.69 gamma=60.00
Site moments in Bohr magnetons follow the coordinates.
Positions (direct):
Gd  0.912  0.912  0.265  -7.16
Gd  0.088  0.088  0.735  -7.16
Dy  0.500  0.500  0.500  0.10
Pb  0.000  0.000  0.000  0.03

Space-group type ... R-3m, No. 166
Energy above the lowest structure with this stoichiometry ... 366 meV/atom

=====

GdDyPb | PBE-GGA | relaxed

Unit cell a=3.732 b=5.315 c=5.315 alpha=120.00 beta=90.00 gamma=90.00
Site moments in Bohr magnetons follow the coordinates.
Positions (direct):
Dy  0.261  0.667  0.333  0.18
Pb  0.020  0.000  0.000  -0.03
Gd  0.719  0.333  0.667  7.19

Space-group type ... P3m1, No. 156
Energy above the lowest structure with this stoichiometry ... 103 meV/atom

=====

GdDyPb | PBE-GGA | relaxed

Unit cell a=4.089 b=4.089 c=6.001 alpha=109.92 beta=109.92 gamma=90.00
Site moments in Bohr magnetons follow the coordinates.
Positions (direct):
Pb  0.285  0.285  0.571  0.00
Dy  0.940  0.940  0.879  -0.53
Gd  0.625  0.625  0.250  -7.43

Space-group type ... I4mm, No. 107
Energy above the lowest structure with this stoichiometry ... 0 meV/atom

=====

GdDyPdPb | PBE-GGA | relaxed

Unit cell a=5.232 b=5.232 c=5.232 alpha=60.00 beta=60.00 gamma=60.00
Site moments in Bohr magnetons follow the coordinates.
Positions (direct):
Gd  0.000  0.000  0.000  7.05
Pd  0.750  0.750  0.750  -0.02
Pb  0.250  0.250  0.250  -0.02
Dy  0.500  0.500  0.500  0.06

Space-group type ... F-43m, No. 216
Calculated total energy ... -7.511 eV per atom

=====

GdDyRuPb | PBE-GGA | relaxed

Unit cell a=5.143 b=5.143 c=5.143 alpha=60.00 beta=60.00 gamma=60.00
Site moments in Bohr magnetons follow the coordinates.
Positions (direct):
Gd  0.000  0.000  0.000  7.01
Dy  0.500  0.500  0.500  0.01
Pb  0.250  0.250  0.250  -0.02
Ru  0.750  0.750  0.750  -0.13

Space-group type ... F-43m, No. 216
Calculated total energy ... -8.172 eV per atom

=====

GdDyTlPb | PBE-GGA | relaxed

Unit cell a=5.428 b=5.428 c=5.428 alpha=60.00 beta=60.00 gamma=60.00
Site moments in Bohr magnetons follow the coordinates.
Positions (direct):
Tl  0.000  0.000  0.000  -0.03
Pb  0.500  0.500  0.500  -0.03
Gd  0.750  0.750  0.750  7.05
Dy  0.250  0.250  0.250  0.05

Space-group type ... F-43m, No. 216
Calculated total energy ... -6.571 eV per atom

=====

GdDyZnPb | PBE-GGA | relaxed

Unit cell a=5.270 b=5.270 c=5.270 alpha=60.00 beta=60.00 gamma=60.00
Site moments in Bohr magnetons follow the coordinates.
Positions (direct):
Zn  0.500  0.500  0.500  -0.01
Dy  0.250  0.250  0.250  0.12
Pb  0.000  0.000  0.000  -0.04
Gd  0.750  0.750  0.750  7.11

Space-group type ... F-43m, No. 216
Calculated total energy ... -6.297 eV per atom

=====

GdDy2Pd | PBE-GGA | relaxed

Unit cell a=3.663 b=3.663 c=10.040 alpha=79.49 beta=79.49 gamma=60.00
Site moments in Bohr magnetons follow the coordinates.
Positions (direct):
Pd  0.000  0.000  0.000  0.01
Dy  0.732  0.732  0.803  0.02
Dy  0.268  0.268  0.197  0.02
Gd  0.500  0.500  0.500  -7.21

Space-group type ... R-3m, No. 166
Energy above the lowest structure with this stoichiometry ... 118 meV/atom

=====

GdDy2Pd | PBE-GGA | relaxed

Unit cell a=3.569 b=3.569 c=8.519 alpha=90.00 beta=90.00 gamma=90.00
Site moments in Bohr magnetons follow the coordinates.
Positions (direct):
Gd  0.500  0.500  0.500  7.26
Dy  0.000  0.000  0.196  0.07
Pd  0.500  0.500  0.000  0.01
Dy  0.000  0.000  0.804  0.07

Space-group type ... P4/mmm, No. 123
Energy above the lowest structure with this stoichiometry ... 0 meV/atom

=====

GdDyPd4 | PBE-GGA | relaxed

Unit cell a=5.454 b=5.454 c=5.454 alpha=60.00 beta=60.00 gamma=60.00
Site moments in Bohr magnetons follow the coordinates.
Positions (direct):
Gd  0.250  0.250  0.250  7.02
Pd  0.625  0.625  0.125  0.00
Pd  0.625  0.625  0.625  0.00
Pd  0.125  0.625  0.625  0.00
Dy  0.000  0.000  0.000  0.02
Pd  0.625  0.125  0.625  0.00

Space-group type ... F-43m, No. 216
Calculated total energy ... -7.383 eV per atom

=====

GdDyPdRu | PBE-GGA | relaxed

Unit cell a=4.900 b=4.900 c=4.900 alpha=60.00 beta=60.00 gamma=60.00
Site moments in Bohr magnetons follow the coordinates.
Positions (direct):
Pd  0.250  0.250  0.250  -0.01
Ru  0.750  0.750  0.750  0.07
Dy  0.500  0.500  0.500  -0.02
Gd  0.000  0.000  0.000  -7.01

Space-group type ... F-43m, No. 216
Calculated total energy ... -8.895 eV per atom

=====

GdDyScPd | PBE-GGA | relaxed

Unit cell a=5.168 b=5.168 c=5.168 alpha=60.00 beta=60.00 gamma=60.00
Site moments in Bohr magnetons follow the coordinates.
Positions (direct):
Dy  0.250  0.250  0.250  0.06
Sc  0.000  0.000  0.000  0.10
Pd  0.500  0.500  0.500  0.02
Gd  0.750  0.750  0.750  7.10

Space-group type ... F-43m, No. 216
Calculated total energy ... -7.732 eV per atom

=====

GdDyTlPd | PBE-GGA | relaxed

Unit cell a=5.203 b=5.203 c=5.203 alpha=60.00 beta=60.00 gamma=60.00
Site moments in Bohr magnetons follow the coordinates.
Positions (direct):
Pd  0.500  0.500  0.500  0.02
Tl  0.000  0.000  0.000  0.01
Gd  0.250  0.250  0.250  7.01
Dy  0.750  0.750  0.750  0.02

Space-group type ... F-43m, No. 216
Calculated total energy ... -7.098 eV per atom

=====

GdDyZnPd | PBE-GGA | relaxed

Unit cell a=5.030 b=5.030 c=5.030 alpha=60.00 beta=60.00 gamma=60.00
Site moments in Bohr magnetons follow the coordinates.
Positions (direct):
Pd  0.500  0.500  0.500  0.01
Zn  0.000  0.000  0.000  0.01
Dy  0.750  0.750  0.750  -0.01
Gd  0.250  0.250  0.250  -7.00

Space-group type ... F-43m, No. 216
Calculated total energy ... -6.874 eV per atom

=====

PmGdDy | PBE-GGA | relaxed

Unit cell a=3.597 b=3.597 c=8.777 alpha=90.00 beta=90.00 gamma=120.00
Site moments in Bohr magnetons follow the coordinates.
Positions (direct):
Pm  0.000  0.000  0.998  -0.05
Dy  0.333  0.667  0.666  -0.04
Gd  0.667  0.333  0.336  7.20

Space-group type ... P3m1, No. 156
Calculated total energy ... -7.793 eV per atom

=====

PmGd2Dy | PBE-GGA | relaxed

Unit cell a=5.080 b=5.067 c=5.067 alpha=90.00 beta=90.00 gamma=90.00
Site moments in Bohr magnetons follow the coordinates.
Positions (direct):
Dy  0.500  0.500  0.500  0.03
Gd  0.000  0.000  0.500  -7.14
Pm  0.500  0.000  0.000  0.07
Gd  0.000  0.500  0.000  -7.14

Space-group type ... P4/mmm, No. 123
Energy above the lowest structure with this stoichiometry ... 0 meV/atom

=====

PmGdDy | PBE-GGA | relaxed

Unit cell a=3.607 b=3.607 c=7.987 alpha=103.05 beta=103.05 gamma=90.00
Site moments in Bohr magnetons follow the coordinates.
Positions (direct):
Dy  0.666  0.666  0.333  0.06
Pm  0.001  0.001  0.003  0.06
Gd  0.332  0.332  0.664  -7.21

Space-group type ... I4mm, No. 107
Calculated total energy ... -7.792 eV per atom

=====

PmGd2Dy | PBE-GGA | relaxed

Unit cell a=5.711 b=5.711 c=5.711 alpha=60.00 beta=60.00 gamma=60.00
Site moments in Bohr magnetons follow the coordinates.
Positions (direct):
Gd  0.750  0.750  0.750  -7.32
Gd  0.250  0.250  0.250  -7.32
Dy  0.500  0.500  0.500  -0.26
Pm  0.000  0.000  0.000  -0.24

Space-group type ... Fm-3m, No. 225
Energy above the lowest structure with this stoichiometry ... 78 meV/atom

=====

PmGdDy4 | PBE-GGA | relaxed

Unit cell a=6.604 b=6.604 c=6.604 alpha=60.00 beta=60.00 gamma=60.00
Site moments in Bohr magnetons follow the coordinates.
Positions (direct):
Dy  0.625  0.126  0.625  0.06
Dy  0.625  0.625  0.625  0.06
Dy  0.625  0.625  0.126  0.06
Dy  0.126  0.625  0.625  0.06
Pm  0.250  0.250  0.250  0.00
Gd  0.000  0.000  0.000  7.39

Space-group type ... F-43m, No. 216
Calculated total energy ... -5.953 eV per atom

=====

PmGd2Dy | PBE-GGA | relaxed

Unit cell a=3.589 b=3.589 c=10.143 alpha=90.00 beta=90.00 gamma=90.00
Site moments in Bohr magnetons follow the coordinates.
Positions (direct):
Gd  0.000  0.000  0.753  -7.12
Pm  0.500  0.500  0.500  0.08
Dy  0.500  0.500  0.000  0.07
Gd  0.000  0.000  0.247  -7.12

Space-group type ... P4/mmm, No. 123
Energy above the lowest structure with this stoichiometry ... 3 meV/atom

=====

PmGd2Dy | PBE-GGA | relaxed

Unit cell a=3.587 b=3.587 c=11.905 alpha=81.33 beta=81.33 gamma=60.00
Site moments in Bohr magnetons follow the coordinates.
Positions (direct):
Gd  0.751  0.751  0.747  7.14
Gd  0.249  0.249  0.253  7.14
Pm  0.000  0.000  0.000  -0.06
Dy  0.500  0.500  0.500  -0.05

Space-group type ... R-3m, No. 166
Energy above the lowest structure with this stoichiometry ... 1 meV/atom

=====

Pm4GdDy | PBE-GGA | relaxed

Unit cell a=6.673 b=6.673 c=6.673 alpha=60.00 beta=60.00 gamma=60.00
Site moments in Bohr magnetons follow the coordinates.
Positions (direct):
Pm  0.626  0.123  0.626  0.00
Gd  0.250  0.250  0.250  -7.23
Dy  0.000  0.000  0.000  0.03
Pm  0.626  0.626  0.123  0.00
Pm  0.123  0.626  0.626  0.00
Pm  0.626  0.626  0.626  0.00

Space-group type ... F-43m, No. 216
Calculated total energy ... -6.034 eV per atom

=====

PmGdDyPu | PBE-GGA | relaxed

Unit cell a=5.639 b=5.639 c=5.639 alpha=60.00 beta=60.00 gamma=60.00
Site moments in Bohr magnetons follow the coordinates.
Positions (direct):
Pm  0.750  0.750  0.750  0.22
Pu  0.000  0.000  0.000  5.62
Dy  0.500  0.500  0.500  0.29
Gd  0.250  0.250  0.250  7.40

Space-group type ... F-43m, No. 216
Calculated total energy ... -9.245 eV per atom

=====

PmGdDySn | PBE-GGA | relaxed

Unit cell a=5.464 b=5.464 c=5.464 alpha=60.00 beta=60.00 gamma=60.00
Site moments in Bohr magnetons follow the coordinates.
Positions (direct):
Gd  0.500  0.500  0.500  7.27
Dy  0.000  0.000  0.000  0.25
Sn  0.250  0.250  0.250  -0.03
Pm  0.750  0.750  0.750  0.33

Space-group type ... F-43m, No. 216
Calculated total energy ... -7.103 eV per atom

=====

TbPmGdDy | PBE-GGA | relaxed

Unit cell a=5.709 b=5.709 c=5.709 alpha=60.00 beta=60.00 gamma=60.00
Site moments in Bohr magnetons follow the coordinates.
Positions (direct):
Dy  0.500  0.500  0.500  -0.21
Tb  0.000  0.000  0.000  -0.21
Pm  0.250  0.250  0.250  -0.12
Gd  0.750  0.750  0.750  -7.32

Space-group type ... F-43m, No. 216
Calculated total energy ... -6.896 eV per atom

=====

PmGdDyTm | PBE-GGA | relaxed

Unit cell a=5.679 b=5.679 c=5.679 alpha=60.00 beta=60.00 gamma=60.00
Site moments in Bohr magnetons follow the coordinates.
Positions (direct):
Dy  0.750  0.750  0.750  0.12
Tm  0.250  0.250  0.250  0.10
Pm  0.000  0.000  0.000  0.02
Gd  0.500  0.500  0.500  7.25

Space-group type ... F-43m, No. 216
Calculated total energy ... -6.866 eV per atom

=====

PmGdDyY | PBE-GGA | relaxed

Unit cell a=5.715 b=5.715 c=5.715 alpha=60.00 beta=60.00 gamma=60.00
Site moments in Bohr magnetons follow the coordinates.
Positions (direct):
Dy  0.250  0.250  0.250  0.15
Pm  0.500  0.500  0.500  0.06
Gd  0.000  0.000  0.000  7.28
Y  0.750  0.750  0.750  0.11

Space-group type ... F-43m, No. 216
Calculated total energy ... -7.362 eV per atom

=====

PmGdDyZn | PBE-GGA | relaxed

Unit cell a=5.383 b=5.383 c=5.383 alpha=60.00 beta=60.00 gamma=60.00
Site moments in Bohr magnetons follow the coordinates.
Positions (direct):
Pm  0.500  0.500  0.500  0.21
Gd  0.750  0.750  0.750  7.20
Dy  0.250  0.250  0.250  0.13
Zn  0.000  0.000  0.000  -0.02

Space-group type ... F-43m, No. 216
Calculated total energy ... -6.107 eV per atom

=====

PrGdDy | PBE-GGA | relaxed

Unit cell a=3.622 b=3.622 c=8.825 alpha=90.00 beta=90.00 gamma=120.00
Site moments in Bohr magnetons follow the coordinates.
Positions (direct):
Dy  0.333  0.667  0.664  -0.02
Gd  0.667  0.333  0.338  7.21
Pr  0.000  0.000  0.998  -0.04

Space-group type ... P3m1, No. 156
Energy above the lowest structure with this stoichiometry ... 0 meV/atom